# 1
{
  "formula": "BeCdCo",
  "functional": "PBE",
  "state": "relaxed",
  "space_group": "I4mm",
  "magnetic_moment_mub_per_cell": 0.0,
  "delta_e_f_ev_per_atom": 0.10,
  "cell": [[-3.582, -0.969, 3.497], [-3.505, -3.254, 1.768], [1.281, -1.520, 2.065]],
  "species": ["Be", "Co", "Cd"],
  "fractional_positions": [[0.960, 0.960, 0.040], [0.371, 0.371, 0.629], [0.669, 0.669, 0.331]]
}


# 2
{
  "formula": "BBrO2",
  "functional": "PBE",
  "state": "relaxed",
  "raw_formation_energy_ev_per_atom": -0.557,
  "space_group": "R-3m",
  "magnetic_moment_mub_per_cell": 1.4,
  "cell": [[-6.716, 0.663, 1.649], [-5.223, 1.641, 4.278], [-5.624, 3.641, 1.840]],
  "species": ["B", "O", "O", "Br"],
  "fractional_positions": [[0.000, 0.000, 0.000], [0.937, 0.937, 0.937], [0.063, 0.063, 0.063], [0.500, 0.500, 0.500]]
}


# 3
{
  "formula": "CdInRh",
  "functional": "PBE",
  "state": "relaxed",
  "space_group": "Amm2",
  "magnetic_moment_mub_per_cell": 0.0,
  "delta_e_f_ev_per_atom": -0.29,
  "cell": [[4.612, 0.000, 0.000], [0.000, 5.055, -2.262], [0.000, 0.031, 5.538]],
  "species": ["Cd", "Cd", "In", "In", "Rh", "Rh"],
  "fractional_positions": [[0.000, 0.166, 0.834], [0.500, 0.398, 0.602], [0.500, 0.922, 0.078], [0.000, 0.655, 0.345], [0.000, 0.668, 0.847], [0.000, 0.153, 0.332]]
}


# 4
{
  "formula": "TaTlTe4",
  "functional": "PBE",
  "state": "relaxed",
  "raw_formation_energy_ev_per_atom": 0.935,
  "space_group": "F-43m",
  "magnetic_moment_mub_per_cell": 3.4,
  "cell": [[0.000, 4.480, 4.480], [4.480, 0.000, 4.480], [4.480, 4.480, 0.000]],
  "species": ["Ta", "Tl", "Te", "Te", "Te", "Te"],
  "fractional_positions": [[0.000, 0.000, 0.000], [0.750, 0.750, 0.750], [0.879, 0.374, 0.374], [0.374, 0.374, 0.879], [0.374, 0.879, 0.374], [0.374, 0.374, 0.374]]
}